# 1
# Bi3HPt

A PBEsol-optimized structure of Bi3HPt (meta-GGA SCAN, Alexandria via LeMat-Bulk).

extended XYZ file:
```
5
Lattice="5.3872 0.0000 0.0000 0.0000 5.3872 0.0000 0.0000 0.0000 5.3872" Properties=species:S:1:pos:R:3 pbc="T T T"
H 2.6936 2.6936 2.6936
Bi 2.6936 0.0000 0.0000
Bi 0.0000 0.0000 2.6936
Pt 0.0000 0.0000 0.0000
Bi 0.0000 2.6936 0.0000
```

Values from the calculation:
Crystal system = cubic

***

# 2
# Pt3Au2

A PBEsol-optimized structure of Pt3Au2 (meta-GGA SCAN, Alexandria via LeMat-Bulk).

extended XYZ file:
```
5
Lattice="2.7891 0.0000 0.0000 1.3946 2.4155 0.0000 1.3946 0.8052 11.6567" Properties=species:S:1:pos:R:3 pbc="T T T"
Pt 0.0000 0.0000 0.0000
Pt 1.3946 0.8052 4.6951
Pt 4.1837 2.4155 6.9617
Au 2.7891 1.6103 9.3050
Au 2.7891 1.6103 2.3518
```

Values from the calculation:
Crystal system = trigonal
Energy of formation from the pure elements = 0.072 eV per atom

***

# 3
# BPSCl2

A PBEsol-optimized structure of BPSCl2 (meta-GGA SCAN, Alexandria via LeMat-Bulk).

extended XYZ file:
```
5
Lattice="-4.5624 1.1141 0.1192 -0.9830 -3.7564 -2.5148 -0.5010 -2.4671 3.8811" Properties=species:S:1:pos:R:3 pbc="T T T"
B -3.0232 -2.5547 0.7428
Cl -0.2505 -1.2336 1.9406
P -2.2812 0.5570 0.0596
Cl -0.4915 -1.8782 -1.2574
S 0.0000 0.0000 0.0000
```

Values from the calculation:
Crystal system = tetragonal

***

# 4
# LiHo3Ge2O8F2

A PBEsol-optimized structure of LiHo3Ge2O8F2 (meta-GGA SCAN, Alexandria via LeMat-Bulk).

extended XYZ file:
```
32
Lattice="-4.9451 -0.7584 -0.5562 -0.8438 -7.1725 -5.4965 -2.2140 -6.6224 5.9356" Properties=species:S:1:pos:R:3 pbc="T T T"
O -4.1923 -5.8058 -4.1642
O -1.8786 -4.6364 3.4196
O -3.8105 -8.7474 4.0471
O -1.7051 -7.4423 -0.9892
O -3.9755 -3.7049 -0.9118
O -4.0273 -10.8483 0.7946
O -1.4314 -6.7448 -4.3738
O -4.0530 -5.4043 1.6445
O -3.9499 -9.1490 -1.7617
F -4.4602 -6.4876 -1.2967
Ho -2.7374 -5.4964 -0.3310
O -6.4264 -10.7438 -0.7960
Ho -7.1738 -12.8397 -0.4385
Ho -0.8290 -1.7135 0.3214
O -6.1242 -9.9168 -3.5368
Li -0.4219 -3.5862 -2.7483
F -3.5426 -8.0657 1.1795
F -3.7783 -8.4819 -4.6401
O -6.1204 -9.5361 2.2568
F -4.2245 -6.0713 4.5229
Li -3.5795 -3.6904 2.6897
Ge -2.5101 -5.3512 -3.9982
Ge -5.4927 -9.2020 3.8811
Ge -5.7883 -5.4738 1.4262
Ho -5.2654 -9.0568 0.2139
O -1.8824 -5.0171 -2.3739
O -6.5714 -7.8084 4.2566
Ho -2.9062 -6.9186 2.9612
Ge -2.2145 -9.0794 -1.5433
O -6.2977 -7.1110 0.8720
O -1.5764 -3.8094 0.6788
Ho -5.0966 -7.6346 -3.0783
```

Values from the calculation:
Crystal system = monoclinic

***

# 5
# MnOF

A PBEsol-optimized structure of MnOF (meta-GGA SCAN, Alexandria via LeMat-Bulk).

extended XYZ file:
```
24
Lattice="4.5572 0.0051 0.0000 -0.0138 4.5572 0.0000 0.0000 0.0000 12.2820" Properties=species:S:1:pos:R:3 pbc="T T T"
Mn 4.3997 4.4180 0.0000
F 3.5739 1.0391 1.6306
Mn 2.1303 2.4100 4.6048
Mn 2.4012 2.1402 7.6772
F 3.1966 3.4027 3.0705
O 3.0717 3.0845 0.0000
O 0.7898 3.7444 1.5359
O 1.5322 1.3665 9.2115
Mn 2.1303 2.4100 1.5362
F 1.0243 3.5782 7.7716
O 3.7411 0.8053 10.7460
F 1.2510 1.2562 0.0000
O 0.7898 3.7444 4.6050
F 3.5739 1.0391 4.5104
F 1.0243 3.5782 10.6513
Mn 2.4012 2.1402 10.7458
Mn 0.1109 0.1659 9.2115
F 3.3894 3.2107 9.2115
O 1.3601 1.5378 3.0705
Mn 4.3997 4.4180 6.1410
O 3.0717 3.0845 6.1410
F 1.2510 1.2562 6.1410
Mn 0.1654 0.1116 3.0705
O 3.7411 0.8053 7.6769
```

Values from the calculation:
Crystal system = orthorhombic

***

# 6
# Zn2CoOs

A PBEsol-optimized structure of Zn2CoOs (meta-GGA SCAN, Alexandria via LeMat-Bulk).

extended XYZ file:
```
4
Lattice="-0.5316 -0.8087 -2.4158 1.6745 -4.0777 0.9965 -4.4842 0.1652 0.9315" Properties=species:S:1:pos:R:3 pbc="T T T"
Co 0.5714 -2.4432 -0.7097
Zn 0.0000 0.0000 0.0000
Os -1.4049 -1.9563 0.9640
Zn -2.5079 -0.3217 -0.7422
```

Values from the calculation:
Crystal system = monoclinic
Energy above the lowest structure with this stoichiometry = 0.000 eV per atom
Energy of formation from the pure elements = 0.114 eV per atom

***

# 7
# Be2Rh

A PBEsol-optimized structure of Be2Rh (meta-GGA SCAN, Alexandria via LeMat-Bulk).

extended XYZ file:
```
6
Lattice="-2.0357 2.6252 1.1622 -1.3528 -1.9069 -3.3910 -1.4807 -2.6913 3.4856" Properties=species:S:1:pos:R:3 pbc="T T T"
Be -3.1187 -1.1315 2.4221
Rh -2.0883 0.3519 0.8762
Rh -2.7808 -2.3248 0.3806
Be -1.7504 -0.8414 -1.1653
Be 0.0000 0.0000 0.0000
Be -0.7403 -1.3456 1.7428
```

Values from the calculation:
Crystal system = monoclinic
Energy of formation from the pure elements = -0.691 eV per atom

***

# 8
# BaCo2Tc

A PBEsol-optimized structure of BaCo2Tc (meta-GGA SCAN, Alexandria via LeMat-Bulk).

extended XYZ file:
```
4
Lattice="-0.4328 -2.5043 -1.3778 2.3829 -2.4355 3.6782 -5.0763 1.9179 1.1413" Properties=species:S:1:pos:R:3 pbc="T T T"
Co -0.3578 -0.0482 0.1999
Ba -0.8827 -1.4969 2.9980
Tc -3.7650 -0.5068 2.1036
Co -2.2219 -1.5221 0.4316
```

Values from the calculation:
Crystal system = orthorhombic
Energy of formation from the pure elements = 1.037 eV per atom

***

# 9
# BeCoSbI2

A PBEsol-optimized structure of BeCoSbI2 (meta-GGA SCAN, Alexandria via LeMat-Bulk).

extended XYZ file:
```
5
Lattice="4.8085 0.0000 0.0000 0.0000 5.0842 0.0000 0.0000 0.0000 5.0842" Properties=species:S:1:pos:R:3 pbc="T T T"
Sb 2.4042 0.0000 0.0000
I 0.0000 0.0000 2.5421
I 0.0000 2.5421 0.0000
Be 0.0000 0.0000 0.0000
Co 2.4042 2.5421 2.5421
```

Values from the calculation:
Crystal system = tetragonal

***

# 10
# Zr4CdAs

A PBEsol-optimized structure of Zr4CdAs (meta-GGA SCAN, Alexandria via LeMat-Bulk).

extended XYZ file:
```
6
Lattice="-3.2648 3.5813 -2.8890 -1.1577 -0.9931 -5.4317 -5.2043 -1.5418 -1.5389" Properties=species:S:1:pos:R:3 pbc="T T T"
Zr -4.1847 -0.1084 -6.4234
Zr -6.2218 -0.3846 -4.4636
As -7.2201 0.7848 -7.3947
Zr -5.2454 2.1944 -5.1433
Cd 0.0000 0.0000 0.0000
Zr -3.6018 0.3915 -3.6889
```

Values from the calculation:
Crystal system = cubic
Energy of formation from the pure elements = 0.293 eV per atom

***

# 11
# Sr2CaPb2

A PBEsol-optimized structure of Sr2CaPb2 (meta-GGA SCAN, Alexandria via LeMat-Bulk).

extended XYZ file:
```
10
Lattice="-4.4584 -0.1533 1.9717 2.7200 -5.6434 5.7118 2.1019 6.3207 5.2442" Properties=species:S:1:pos:R:3 pbc="T T T"
Sr -0.3759 3.1964 5.4310
Sr 0.7394 -2.6724 7.4967
Pb 2.8301 3.4102 6.6645
Sr 1.3355 1.4316 9.1637
Ca 2.4109 0.3386 5.4780
Sr -0.9721 -0.9076 3.7639
Pb 3.6899 -0.9154 8.2726
Pb 1.9918 -2.7330 4.2914
Pb 1.1319 1.5927 2.6834
Ca 0.0000 0.0000 0.0000
```

Values from the calculation:
Crystal system = tetragonal
Energy of formation from the pure elements = -0.714 eV per atom

***

# 12
# Ir3RhW

A PBEsol-optimized structure of Ir3RhW (meta-GGA SCAN, Alexandria via LeMat-Bulk).

extended XYZ file:
```
5
Lattice="-1.4582 -1.3418 4.1928 -0.8957 -4.2340 -1.6665 4.3101 -1.3338 1.0722" Properties=species:S:1:pos:R:3 pbc="T T T"
Ir 2.1551 -0.6669 0.5361
W 0.0000 0.0000 0.0000
Ir -0.4479 -2.1170 -0.8333
Rh 0.9781 -3.4548 1.7992
Ir -0.7291 -0.6709 2.0964
```

Values from the calculation:
Crystal system = cubic
Energy of formation from the pure elements = 2.034 eV per atom

***

What are the raw total energy values for these records? In order: -61.017, -69.706, -7.265, -18.439, -11.807, -28.940, -14.850, -26.267, -25.535, -28.607, -41.870, -61.317 eV/atom.
What are the theoretical density values for these records? In order: 8.74, 20.70, 2.39, 7.05, 4.68, 12.50, 6.85, 8.55, 5.93, 7.22, 5.97, 14.38 g/cm3.
What are the total moment values for these records? In order: 0.89, 0.00, 0.00, 0.00, 4.00, 1.75, 0.00, 3.99, 2.56, 0.00, 0.34, 1.80 μB/f.u..